Run P
Computed, not measured: an optimized crystal structure of Pm3Sn4Ir2 at the PBE-GGA level of DFT.

Summary:
**Total moment**: 0.0000 μB per atom
**SG**: C2/m, No. 12

Structure (CIF):
```
data_Pm3Sn4Ir2
_chemical_formula_sum 'Pm3 Sn4 Ir2'
_cell_length_a 4.703
_cell_length_b 6.133
_cell_length_c 8.939
_cell_angle_alpha 71.17
_cell_angle_beta 74.75
_cell_angle_gamma 67.46
_symmetry_space_group_name_H-M 'P 1'
_symmetry_Int_Tables_number 1
loop_
_symmetry_equiv_pos_as_xyz
'x,y,z'
loop_
_atom_site_label
_atom_site_fract_x
_atom_site_fract_y
_atom_site_fract_z
Sn1 0.016 0.316 0.652
Sn2 0.984 0.684 0.348
Sn3 0.725 0.634 0.916
Sn4 0.275 0.366 0.084
Pm1 0.000 0.000 0.000
Pm2 0.316 0.744 0.623
Pm3 0.684 0.256 0.377
Ir1 0.405 0.914 0.276
Ir2 0.595 0.086 0.724
```

Run Q
Computed, not measured: an optimized crystal structure of Pm3Sn4Ir2 at the PBE-GGA level of DFT.

Summary:
**Total moment**: 0.0000 μB per atom
**SG**: C2/m, No. 12

Structure (CIF):
```
data_Pm3Sn4Ir2
_chemical_formula_sum 'Pm3 Sn4 Ir2'
_cell_length_a 4.618
_cell_length_b 6.215
_cell_length_c 8.819
_cell_angle_alpha 106.53
_cell_angle_beta 90.00
_cell_angle_gamma 111.81
_symmetry_space_group_name_H-M 'P 1'
_symmetry_Int_Tables_number 1
loop_
_symmetry_equiv_pos_as_xyz
'x,y,z'
loop_
_atom_site_label
_atom_site_fract_x
_atom_site_fract_y
_atom_site_fract_z
Ir1 0.696 0.392 0.379
Ir2 0.304 0.608 0.621
Sn1 0.915 0.830 0.610
Sn2 0.297 0.594 0.923
Sn3 0.085 0.170 0.390
Sn4 0.703 0.406 0.077
Pm1 0.000 0.000 0.000
Pm2 0.368 0.736 0.312
Pm3 0.632 0.264 0.688
```

Energies relative to the most stable structure, in kJ/mol of atoms: run P 3.7; run Q 0.0.

Run P
Computed, not measured: an optimized crystal structure of Pm3SnIr at the PBE-GGA level of DFT.

Summary:
**Total moment**: 0.0000 μB per atom
**SG**: Pmmn, No. 59

Structure (CIF):
```
data_Pm3SnIr
_chemical_formula_sum 'Pm6 Sn2 Ir2'
_cell_length_a 4.661
_cell_length_b 6.956
_cell_length_c 9.087
_cell_angle_alpha 90.00
_cell_angle_beta 90.00
_cell_angle_gamma 90.00
_symmetry_space_group_name_H-M 'P 1'
_symmetry_Int_Tables_number 1
loop_
_symmetry_equiv_pos_as_xyz
'x,y,z'
loop_
_atom_site_label
_atom_site_fract_x
_atom_site_fract_y
_atom_site_fract_z
Pm1 0.750 0.995 0.654
Pm2 0.250 0.005 0.346
Pm3 0.250 0.495 0.346
Pm4 0.750 0.750 0.078
Pm5 0.250 0.250 0.922
Pm6 0.750 0.505 0.654
Ir1 0.750 0.750 0.396
Ir2 0.250 0.250 0.604
Sn1 0.750 0.250 0.151
Sn2 0.250 0.750 0.849
```

Run Q
Computed, not measured: an optimized crystal structure of Pm3SnIr at the PBE-GGA level of DFT.

Summary:
**Total moment**: 0.0000 μB per atom
**SG**: Pm-3m, No. 221

Structure (CIF):
```
data_Pm3SnIr
_chemical_formula_sum 'Pm3 Sn1 Ir1'
_cell_length_a 5.470
_cell_length_b 5.470
_cell_length_c 5.470
_cell_angle_alpha 90.00
_cell_angle_beta 90.00
_cell_angle_gamma 90.00
_symmetry_space_group_name_H-M 'P 1'
_symmetry_Int_Tables_number 1
loop_
_symmetry_equiv_pos_as_xyz
'x,y,z'
loop_
_atom_site_label
_atom_site_fract_x
_atom_site_fract_y
_atom_site_fract_z
Pm1 0.000 0.000 0.500
Pm2 0.500 0.000 0.000
Pm3 0.000 0.500 0.000
Ir1 0.000 0.000 0.000
Sn1 0.500 0.500 0.500
```

Energies relative to the most stable structure, in kJ/mol of atoms: run P 0.0; run Q 20.7.